# PBE-GGA HfAu3S, relaxed
# Total magnetization (μB per formula unit): 0.0
# Space-group type: No. 221
# D(E_F) (states/eV/atom): 1.042
# Theoretical density (g cm⁻³): 12.49
# E above lowest polymorph (meV per atom): 0.0
data_HfAu3S
_chemical_formula_sum 'Hf1 Au3 S1'
_space_group_name_H-M_alt 'P 1'
_space_group_IT_number 1
_cell_length_a 4.7408
_cell_length_b 4.7408
_cell_length_c 4.7408
_cell_angle_alpha 90.00
_cell_angle_beta 90.00
_cell_angle_gamma 90.00
loop_
_space_group_symop_operation_xyz
'x,y,z'
loop_
_atom_site_label
_atom_site_type_symbol
_atom_site_fract_x
_atom_site_fract_y
_atom_site_fract_z
_atom_site_occupancy
Hf1 Hf 0.5000 0.5000 0.5000 1
Au1 Au 0.5000 0.0000 0.0000 1
Au2 Au 0.0000 0.0000 0.5000 1
Au3 Au 0.0000 0.5000 0.0000 1
S1 S 0.0000 0.0000 0.0000 1